Record 1
Ac2InGa3Pt4 | Alexandria | PBE | optimized geometry; formation energy = -0.92 eV/atom; space-group type = P-4m2, No. 115
1.0
4.443 0.000 0.000
0.000 4.443 0.000
0.000 0.000 10.915
Ac In Ga Pt
2 1 3 4
Cartesian
0.000 2.221 2.648
2.221 0.000 8.267
0.000 0.000 5.458
0.000 2.221 9.614
2.221 0.000 1.301
2.221 2.221 5.458
0.000 0.000 0.000
0.000 2.221 7.056
2.221 0.000 3.859
2.221 2.221 0.000

Record 2
Ac3InGa2Pt9 | Alexandria | PBE | optimized geometry; formation energy = -0.56 eV/atom; space-group type = P-3m1, No. 164
1.0
7.596 0.000 0.000
-3.798 6.578 0.000
0.000 0.000 6.895
Ac In Ga Pt
3 1 2 9
Cartesian
0.000 0.000 0.000
0.000 4.385 4.539
3.798 2.193 2.357
0.000 0.000 3.448
0.000 4.385 1.014
3.798 2.193 5.882
-1.899 3.289 0.000
0.000 2.282 2.209
-1.822 5.437 2.209
1.976 1.141 4.686
3.798 0.000 0.000
1.899 3.289 0.000
1.822 5.437 2.209
5.620 1.141 4.686
3.798 4.296 4.686

Record 3
AcInGaPt3 | Alexandria | PBE | optimized geometry; formation energy = -0.66 eV/atom; space-group type = Cmcm, No. 63
1.0
3.552 -7.286 0.000
3.552 7.286 0.000
0.000 0.000 5.819
Ac In Ga Pt
2 2 2 6
Cartesian
3.552 4.312 4.364
3.552 -4.312 1.455
3.552 0.766 1.455
3.552 -0.766 4.364
3.552 5.848 1.455
3.552 -5.848 4.364
1.427 0.000 0.000
1.427 0.000 2.909
3.552 3.425 1.455
3.552 -3.425 4.364
5.676 0.000 0.000
5.676 0.000 2.909

Record 4
AcInGa2Pt | Alexandria | PBE | optimized geometry; formation energy = -0.73 eV/atom; space-group type = Imm2, No. 44
1.0
-2.230 2.318 5.563
2.230 -2.318 5.563
2.230 2.318 -5.563
Ac In Ga Pt
1 1 2 1
Cartesian
0.000 0.000 0.000
2.230 0.000 2.854
0.000 0.000 4.531
0.000 2.318 2.797
0.000 0.000 7.017

Record 5
AcInGaPt | Alexandria | PBE | optimized geometry; formation energy = -0.57 eV/atom; space-group type = F-43m, No. 216
1.0
0.000 3.631 3.631
3.631 0.000 3.631
3.631 3.631 0.000
Ac In Ga Pt
1 1 1 1
Cartesian
0.000 0.000 0.000
3.631 3.631 3.631
1.815 1.815 1.815
5.446 5.446 5.446

Record 6
Ac2InGa2Rh5 | Alexandria | PBE | optimized geometry; formation energy = -0.65 eV/atom; space-group type = P4/mbm, No. 127
1.0
10.257 0.000 0.000
0.000 10.257 0.000
0.000 0.000 3.670
Ac In Ga Rh
4 2 4 10
Cartesian
1.828 3.301 0.000
3.301 8.429 0.000
6.956 1.828 0.000
8.429 6.956 0.000
0.000 0.000 0.000
5.128 5.128 0.000
1.220 6.348 0.000
3.909 1.220 0.000
6.348 9.037 0.000
9.037 3.909 0.000
0.000 5.128 1.835
0.682 8.063 1.835
2.194 0.682 1.835
2.935 5.811 1.835
4.446 2.935 1.835
5.128 0.000 1.835
5.811 7.322 1.835
7.322 4.446 1.835
8.063 9.575 1.835
9.575 2.194 1.835

Record 7
Ac2InGaRh6 | Alexandria | PBE | optimized geometry; formation energy = -0.44 eV/atom; space-group type = P-1, No. 2
1.0
6.065 0.000 0.000
-2.517 5.568 0.000
-1.029 -2.922 6.166
Ac In Ga Rh
2 1 1 6
Cartesian
-0.664 0.253 1.797
3.183 2.393 4.369
2.518 -1.461 3.083
1.774 2.784 0.000
-1.564 -0.445 4.992
0.079 4.492 0.470
0.319 1.488 4.215
2.200 1.158 1.950
2.441 -1.846 5.696
4.084 3.092 1.173

Record 8
Ac2InGa3Rh4 | Alexandria | PBE | optimized geometry; formation energy = -0.74 eV/atom; space-group type = P-4m2, No. 115
1.0
4.427 0.000 0.000
0.000 4.427 0.000
0.000 0.000 10.568
Ac In Ga Rh
2 1 3 4
Cartesian
0.000 2.214 2.475
2.214 0.000 8.093
0.000 0.000 5.284
0.000 2.214 9.344
2.214 0.000 1.224
2.214 2.214 5.284
0.000 0.000 0.000
0.000 2.214 6.795
2.214 0.000 3.773
2.214 2.214 0.000

| no. | density (g/cm3) |
| --- | --- |
| 1 | 12.0 |
| 2 | 13.0 |
| 3 | 11.0 |
| 4 | 9.8 |
| 5 | 10.5 |
| 6 | 10.5 |
| 7 | 10.0 |
| 8 | 9.5 |